Density functional theory data (PBE-GGA) for a relaxed LiTcPt2 crystal.

Summary:
energy of formation from the pure elements	-0.158	eV per atom
raw total energy	-25.0	eV for the cell shown
Fermi-level density of states	3.6	states/eV per cell
E above lowest polymorph	182	meV per atom

```
LiTcPt2
1.0
-1.911 1.911 3.922
1.911 -1.911 3.922
1.911 1.911 -3.922
Li Tc Pt
1 1 2
Cartesian
0.000 0.000 0.000 Li
0.000 1.911 1.961 Tc
1.911 0.000 1.961 Pt
0.000 0.000 3.922 Pt
```


Density functional theory data (PBE-GGA) for a relaxed Nd2SiN3 crystal.

Summary:
raw total energy	-46.6	eV for the cell shown
Fermi-level density of states	1.5	states/eV per cell
E above lowest polymorph	153	meV per atom
energy relative to the elements, uncorrected	-1.1116	eV/atom

```
Nd2SiN3
1.0
-1.802 1.891 6.144
1.802 -1.891 6.144
1.802 1.891 -6.144
Nd Si N
2 1 3
Cartesian
0.000 0.000 1.796 Nd
0.000 0.000 10.492 Nd
0.000 0.000 6.144 Si
1.802 0.000 0.000 N
0.000 0.000 4.264 N
0.000 0.000 8.023 N
```


Density functional theory data (PBE-GGA) for a relaxed Tl2CoSe crystal.

Summary:
raw total energy	-15.0	eV for the cell shown
Fermi-level density of states	3.1	states/eV per cell
E above lowest polymorph	85	meV per atom
energy relative to the elements, uncorrected	0.0900	eV/atom

```
Tl2CoSe
1.0
-1.631 2.149 6.916
1.631 -2.149 6.916
1.631 2.149 -6.916
Tl Co Se
2 1 1
Cartesian
0.000 0.000 0.000 Tl
0.000 2.149 2.644 Tl
1.631 0.000 3.438 Co
0.000 0.000 5.028 Se
```